No. 1
A relaxed structure of Ca3YIn2. Source: the Alexandria database, functional PBE-GGA.

Structure (POSCAR):
```
Ca3YIn2
1.0
-4.787 -1.913 -1.294
2.522 -6.631 0.474
-2.472 -0.259 9.526
Ca Y In
6 2 4
Cartesian
-1.174 -3.340 9.280 Ca
2.317 -6.422 0.925 Ca
-1.132 -5.504 1.410 Ca
-3.965 -2.353 7.228 Ca
0.042 -2.236 3.151 Ca
0.386 -5.647 6.920 Ca
-2.399 -4.627 4.801 Y
-3.436 -1.288 3.698 Y
-2.696 -5.911 7.797 In
-2.223 -2.414 0.875 In
-0.848 -2.044 6.159 In
1.068 -5.291 3.873 In
```

Results
DFT formation energy: -368 meV/atom
Space-group type: Pmc2_1
Crystal system: orthorhombic

***

No. 2
A relaxed structure of Nd5Sc4Tl4. Source: the Alexandria database, functional PBE-GGA.

Structure (POSCAR):
```
Nd5Sc4Tl4
1.0
-2.959 -1.825 3.260
0.360 -9.155 -1.316
5.287 -1.483 7.451
Nd Sc Tl
5 4 4
Cartesian
1.864 -10.710 6.145 Nd
0.825 -1.753 3.251 Nd
0.000 0.000 0.000 Nd
-1.165 -7.485 1.718 Nd
3.853 -4.978 7.677 Nd
1.071 -7.364 7.299 Sc
1.122 -4.803 5.296 Sc
1.618 -5.100 2.096 Sc
1.566 -7.660 4.100 Sc
-1.164 -4.591 3.340 Tl
3.852 -7.872 6.055 Tl
-0.737 -9.703 4.349 Tl
3.425 -2.760 5.047 Tl
```

Results
DFT formation energy: -241 meV/atom
Space-group type: I4/m
Crystal system: tetragonal

***

No. 3
A relaxed structure of Ba4Sm7Si12BN27. Source: the Alexandria database, functional PBE-GGA.

Structure (POSCAR):
```
Ba4Sm7Si12BN27
1.0
5.451 0.000 0.000
0.000 12.268 0.000
0.000 -6.134 10.625
Ba Sm Si B N
4 7 12 1 27
Cartesian
2.726 -2.508 6.018 Ba
2.726 0.332 9.788 Ba
2.726 6.134 3.542 Ba
2.726 2.177 5.443 Ba
0.000 1.176 2.589 Sm
0.000 3.757 0.321 Sm
0.000 10.111 3.093 Sm
2.726 0.000 0.000 Sm
0.000 -4.480 8.311 Sm
0.000 3.304 10.349 Sm
0.000 4.534 7.210 Sm
0.000 4.335 3.247 Si
0.000 -0.158 5.368 Si
2.726 2.734 2.070 Si
2.726 -0.410 3.285 Si
2.726 -3.084 9.337 Si
0.000 -1.406 8.078 Si
2.726 9.108 1.333 Si
0.000 7.289 2.131 Si
2.726 6.560 7.222 Si
2.726 3.494 8.627 Si
0.000 6.778 5.247 Si
0.000 1.565 7.804 Si
0.000 0.000 0.000 B
4.119 7.035 6.328 N
1.332 7.035 6.328 N
2.726 4.871 7.579 N
2.726 10.262 2.617 N
0.000 7.758 3.835 N
0.000 1.460 0.180 N
0.000 11.382 1.175 N
0.000 5.068 4.801 N
1.332 8.097 1.368 N
4.119 8.097 1.368 N
2.726 3.776 10.368 N
0.000 5.560 9.270 N
0.000 5.576 1.988 N
1.332 3.270 2.928 N
4.119 3.270 2.928 N
4.144 2.616 8.252 N
1.307 2.616 8.252 N
2.726 3.270 0.429 N
0.000 0.157 8.772 N
4.144 -2.321 8.764 N
1.307 -2.321 8.764 N
0.000 1.384 6.103 N
2.726 -4.733 8.711 N
0.000 -1.541 6.375 N
1.307 -0.296 4.233 N
4.144 -0.296 4.233 N
2.726 0.957 2.171 N
```

Results
Space-group type: P-6
Energy relative to the elements, uncorrected: -1.260 eV/atom
Crystal system: hexagonal

***

No. 4
A relaxed structure of Re4SiBr. Source: the Alexandria database, functional PBE-GGA.

Structure (POSCAR):
```
Re4SiBr
1.0
5.091 -0.989 0.903
1.518 -4.804 1.526
2.710 -3.077 -3.302
Re Si Br
4 1 1
Cartesian
6.039 -3.821 0.124 Re
4.849 -4.864 -1.976 Re
4.254 -5.727 0.435 Re
3.496 -3.327 -0.327 Re
6.989 -6.652 -0.654 Si
0.000 0.000 0.000 Br
```

Results
Space-group type: F-43m
Energy relative to the elements, uncorrected: 1.310 eV/atom
Crystal system: cubic

***

no.,mass density (g/cm³)
1,3.92
2,7.49
3,5.44
4,13.73